# 1
## Li6Br3N (PBE)

Data for a relaxed structure of Li6Br3N.

Values from the calculation:
Formation energy (no corrections), meV/atom: -1059.8
Calculated total energy, eV per atom: -3.5424
Energy relative to the lowest polymorph listed for this composition, meV/atom: 12
V, Å³ per atom: 18.20

Geometry as POSCAR:
```
Li6Br3N
1.0
6.226 0.000 0.000
0.000 6.350 0.000
-6.139 0.000 9.205
Li Br N
12 6 2
Direct
0.083 0.235 0.418
0.083 0.265 0.918
0.218 0.671 0.966
0.218 0.829 0.466
0.297 0.075 0.693
0.297 0.425 0.193
0.703 0.575 0.807
0.703 0.925 0.307
0.782 0.171 0.534
0.782 0.329 0.034
0.917 0.735 0.082
0.917 0.765 0.582
0.249 0.021 0.259
0.249 0.479 0.759
0.500 0.000 0.000
0.500 0.500 0.500
0.751 0.521 0.241
0.751 0.979 0.741
0.000 0.000 0.500
0.000 0.500 0.000
```


# 2
## Li6Br3N (PBE)

Data for a relaxed structure of Li6Br3N.

Values from the calculation:
Formation energy (no corrections), meV/atom: -1055.4
Calculated total energy, eV per atom: -3.5381
Energy relative to the lowest polymorph listed for this composition, meV/atom: 16
V, Å³ per atom: 19.10

Geometry as POSCAR:
```
Li6Br3N
1.0
4.180 -4.035 0.000
4.180 4.035 0.000
-3.793 0.000 5.662
Li Br N
6 3 1
Direct
0.031 0.678 0.276
0.145 0.145 0.354
0.322 0.969 0.724
0.678 0.031 0.276
0.855 0.855 0.646
0.969 0.322 0.724
0.233 0.767 0.000
0.500 0.500 0.500
0.767 0.233 0.000
0.000 0.000 0.500
```


# 3
## Li7BrN2 (PBE)

Data for a relaxed structure of Li7BrN2.

Values from the calculation:
Formation energy (no corrections), meV/atom: -602.5
Calculated total energy, eV per atom: -3.7745
Energy relative to the lowest polymorph listed for this composition, meV/atom: 0
V, Å³ per atom: 13.44

Geometry as POSCAR:
```
Li7BrN2
1.0
3.247 -5.332 0.000
3.247 5.332 0.000
0.000 0.000 3.881
Li Br N
7 1 2
Direct
0.000 0.000 0.000
0.153 0.466 0.000
0.188 0.812 0.500
0.466 0.153 0.000
0.534 0.847 0.000
0.812 0.188 0.500
0.847 0.534 0.000
0.500 0.500 0.500
0.187 0.813 0.000
0.813 0.187 0.000
```


# 4
## LiBrN (PBE)

Data for a relaxed structure of LiBrN.

Values from the calculation:
Formation energy (no corrections), meV/atom: 738.4
Calculated total energy, eV per atom: -3.2323
Energy relative to the lowest polymorph listed for this composition, meV/atom: 3
V, Å³ per atom: 27.17

Geometry as POSCAR:
```
LiBrN
1.0
6.658 0.000 0.000
0.000 7.176 0.000
-4.618 0.000 6.825
Li Br N
4 4 4
Direct
0.025 0.178 0.130
0.025 0.322 0.630
0.975 0.678 0.370
0.975 0.822 0.870
0.178 0.651 0.736
0.178 0.849 0.236
0.822 0.151 0.764
0.822 0.349 0.264
0.368 0.190 0.710
0.368 0.310 0.210
0.632 0.690 0.790
0.632 0.810 0.290
```


# 5
## Li4BrN (PBE)

Data for a relaxed structure of Li4BrN.

Values from the calculation:
Formation energy (no corrections), meV/atom: -693.3
Calculated total energy, eV per atom: -3.6356
V, Å³ per atom: 13.29

Geometry as POSCAR:
```
Li4BrN
1.0
-2.795 2.795 5.101
2.795 -2.795 5.101
2.795 2.795 -5.101
Li Br N
8 2 2
Direct
0.000 0.186 0.186
0.000 0.814 0.814
0.186 0.000 0.686
0.186 0.500 0.186
0.500 0.186 0.686
0.500 0.814 0.314
0.814 0.000 0.314
0.814 0.500 0.814
0.375 0.625 0.750
0.625 0.375 0.250
0.125 0.875 0.250
0.875 0.125 0.750
```


# 6
## Li12Br5N2 (PBE)

Data for a relaxed structure of Li12Br5N2.

Values from the calculation:
Formation energy (no corrections), meV/atom: -852.1
Calculated total energy, eV per atom: -3.3774
V, Å³ per atom: 17.78

Geometry as POSCAR:
```
Li12Br5N2
1.0
7.197 -3.708 0.000
7.197 3.708 0.000
-3.600 0.000 6.329
Li Br N
12 5 2
Direct
0.012 0.012 0.160
0.051 0.639 0.927
0.203 0.632 0.662
0.361 0.949 0.073
0.368 0.797 0.338
0.440 0.440 0.051
0.560 0.560 0.949
0.632 0.203 0.662
0.639 0.051 0.927
0.797 0.368 0.338
0.949 0.361 0.073
0.988 0.988 0.840
0.226 0.226 0.413
0.238 0.238 0.907
0.500 0.500 0.500
0.762 0.762 0.093
0.774 0.774 0.587
0.253 0.747 0.000
0.747 0.253 0.000
```